(1)
A plane-wave DFT calculation with PBE was carried out for a relaxed Pm12DyTl3 crystal.

Computed properties:
Fermi-level density of states (states/eV per atom): 1.442
SG: P4/mmm
Crystal system: tetragonal
Energy of formation (eV/atom): -0.143

abc: 4.9699 4.9699 20.3142
angles: 90.00 90.00 90.00
Last column: nearest neighbours and their distance in Å.
Fractional positions:
Pm 0.5000 0.0000 0.6232  4 Tl 3.49-3.53, 8 Pm 3.51-3.53
Pm 0.5000 0.5000 0.5000  4 Tl 3.51, 8 Pm 3.53
Pm 0.0000 0.5000 0.8698  8 Pm 3.51-3.63, 2 Tl 3.57, 2 Dy 3.63
Pm 0.0000 0.5000 0.3768  4 Tl 3.49-3.53, 8 Pm 3.51-3.53
Pm 0.5000 0.5000 0.7460  4 Tl 3.51, 8 Pm 3.52-3.54
Pm 0.5000 0.0000 0.8698  8 Pm 3.51-3.63, 2 Tl 3.57, 2 Dy 3.63
Pm 0.0000 0.5000 0.1302  8 Pm 3.51-3.63, 2 Tl 3.57, 2 Dy 3.63
Tl 0.0000 0.0000 0.2564  12 Pm 3.49-3.57
Tl 0.0000 0.0000 0.5000  12 Pm 3.51-3.53
Tl 0.0000 0.0000 0.7436  12 Pm 3.49-3.57
Dy 0.0000 0.0000 0.0000  12 Pm 3.51-3.63
Pm 0.5000 0.5000 0.0000  4 Dy 3.51, 8 Pm 3.63
Pm 0.0000 0.5000 0.6232  4 Tl 3.49-3.53, 8 Pm 3.51-3.53
Pm 0.5000 0.5000 0.2540  4 Tl 3.51, 8 Pm 3.52-3.54
Pm 0.5000 0.0000 0.3768  4 Tl 3.49-3.53, 8 Pm 3.51-3.53
Pm 0.5000 0.0000 0.1302  8 Pm 3.51-3.63, 2 Tl 3.57, 2 Dy 3.63

(2)
A plane-wave DFT calculation with PBE was carried out for a relaxed Np5Sc2S12 crystal.

Computed properties:
Fermi-level density of states (states/eV per atom): 2.436
SG: C2/m
Energy relative to the elements, uncorrected (eV per atom): -1.3763
Crystal system: monoclinic

abc: 7.6236 7.8980 9.4727
angles: 107.64 90.00 118.86
Last column: nearest neighbours and their distance in Å.
Fractional positions:
S 0.0778 0.6150 0.8494  1 Sc 2.56, 3 Np 2.68-2.80
S 0.9222 0.3850 0.1506  1 Sc 2.56, 3 Np 2.68-2.80
Np 0.6930 0.3859 0.3814  7 S 2.68-2.94
S 0.4628 0.3850 0.1506  1 Sc 2.56, 3 Np 2.68-2.80
S 0.9445 0.8891 0.1544  2 Sc 2.65, 1 Np 2.83
Np 0.3070 0.6141 0.6186  7 S 2.68-2.94
S 0.0918 0.7217 0.4799  3 Np 2.57-2.80
Sc 0.2466 0.0000 0.0000  6 S 2.56-2.65
Np 0.0000 0.0000 0.5000  4 S 2.57
S 0.3701 0.2783 0.5201  3 Np 2.57-2.80
S 0.4776 0.9551 0.1759  2 Sc 2.64, 2 Np 2.78-2.94
Np 0.2644 0.5288 0.0356  6 S 2.68-2.83
S 0.9082 0.2783 0.5201  3 Np 2.57-2.80
S 0.0555 0.1109 0.8456  2 Sc 2.65, 1 Np 2.83
Sc 0.7534 0.0000 0.0000  6 S 2.56-2.65
S 0.5224 0.0449 0.8241  2 Sc 2.64, 2 Np 2.78-2.94
S 0.6299 0.7217 0.4799  3 Np 2.57-2.80
S 0.5372 0.6150 0.8494  1 Sc 2.56, 3 Np 2.68-2.80
Np 0.7356 0.4712 0.9644  6 S 2.68-2.83

(3)
A plane-wave DFT calculation with PBE was carried out for a relaxed KZrIO5 crystal.

Computed properties:
Fermi-level density of states (states/eV per atom): 0.000
SG: C2/c
Energy relative to the elements, uncorrected (eV per atom): -1.6293
Crystal system: monoclinic

abc: 6.0721 6.0721 8.4340
angles: 107.97 107.97 100.62
Last column: nearest neighbours and their distance in Å.
Fractional positions:
O 0.6110 0.7746 0.8814  1 I 1.89
O 0.2254 0.3890 0.6186  1 I 1.89
Zr 0.0000 0.0000 0.0000  6 O 2.11-2.23
I 0.7211 0.2789 0.2500  4 O 1.89-2.05
Zr 0.0000 0.0000 0.5000  6 O 2.11-2.23
O 0.7746 0.6110 0.3814  1 I 1.89
K 0.6781 0.3219 0.7500  7 O 2.61-2.92
O 0.0096 0.9904 0.2500  2 Zr 2.11
O 0.9904 0.0096 0.7500  2 Zr 2.11
O 0.3045 0.8700 0.5669  1 I 2.05, 1 Zr 2.13
O 0.3890 0.2254 0.1186  1 I 1.89
O 0.8700 0.3045 0.0669  1 I 2.05, 1 Zr 2.13
O 0.1300 0.6955 0.9331  1 I 2.05, 1 Zr 2.13
I 0.2789 0.7211 0.7500  4 O 1.89-2.05
K 0.3219 0.6781 0.2500  7 O 2.61-2.92
O 0.6955 0.1300 0.4331  1 I 2.05, 1 Zr 2.13

(4)
A plane-wave DFT calculation with PBE was carried out for a relaxed Zn2CoHg crystal.

Computed properties:
Fermi-level density of states (states/eV per atom): 0.535
SG: I-4m2
Crystal system: tetragonal
Energy of formation (eV/atom): 0.197

abc: 4.9711 4.9711 4.9711
angles: 134.89 134.89 65.70
Last column: nearest neighbours and their distance in Å.
Fractional positions:
Zn 0.2500 0.7500 0.5000  4 Hg 2.70, 4 Co 2.83, 4 Zn 2.83
Co 0.5000 0.5000 0.0000  8 Zn 2.70-2.83, 4 Hg 2.83
Zn 0.0000 0.0000 0.0000  4 Co 2.70, 4 Hg 2.83, 4 Zn 2.83
Hg 0.7500 0.2500 0.5000  8 Zn 2.70-2.83, 4 Co 2.83

(5)
A plane-wave DFT calculation with PBE was carried out for a relaxed ZrSiB2Ir crystal.

Computed properties:
Fermi-level density of states (states/eV per atom): 0.505
SG: P4/mmm
Energy relative to the elements, uncorrected (eV per atom): 0.7548
Crystal system: tetragonal

abc: 3.9742 4.6442 3.9742
angles: 90.00 90.00 90.00
Last column: nearest neighbours and their distance in Å.
Fractional positions:
Ir 0.0000 0.5000 0.0000  2 Si 2.32
Zr 0.5000 0.5000 0.5000  4 Ir 2.81, 8 B 3.06
B 0.0000 0.0000 0.5000  2 Si 1.99
B 0.5000 0.0000 0.0000  2 Si 1.99
Si 0.0000 0.0000 0.0000  4 B 1.99